(1)
# AgW2Se (SCAN, single point on PBEsol structure)
data_AgW2Se
_space_group_name_H-M_alt 'C 1 2/m 1'
_space_group_IT_number 12
_cell_length_a 5.440
_cell_length_b 8.900
_cell_length_c 2.825
_cell_angle_alpha 90.00
_cell_angle_beta 109.04
_cell_angle_gamma 90.00
loop_
_space_group_symop_operation_xyz
'x,y,z'
'-x,-y,-z'
'-x,y,-z'
'x,-y,z'
'x+1/2,y+1/2,z'
'-x+1/2,-y+1/2,-z'
'-x+1/2,y+1/2,-z'
'x+1/2,-y+1/2,z'
loop_
_atom_site_label
_atom_site_type_symbol
_atom_site_fract_x
_atom_site_fract_y
_atom_site_fract_z
Ag1 Ag 0.000 0.000 0.000
W1 W 0.250 0.250 0.500
Se1 Se 0.000 0.500 0.000
# E_tot ... -46.722 eV per atom
# Magnetic moment ... 0.000 μB/atom
# Formation energy from raw total energies ... 3.93 eV per formula unit



(2)
# Y2AgSe (SCAN, single point on PBEsol structure)
data_Y2AgSe
_space_group_name_H-M_alt 'I 4/m m m'
_space_group_IT_number 139
_space_group_name_Hall '-I 4 2'
_cell_length_a 4.791
_cell_length_b 4.791
_cell_length_c 7.791
_cell_angle_alpha 90.00
_cell_angle_beta 90.00
_cell_angle_gamma 90.00
loop_
_atom_site_label
_atom_site_type_symbol
_atom_site_fract_x
_atom_site_fract_y
_atom_site_fract_z
Y1 Y 0.000 0.500 0.250
Ag1 Ag 0.000 0.000 0.000
Se1 Se 0.000 0.000 0.500
# E_tot ... -27.552 eV per atom
# Magnetic moment ... 0.002 μB/atom
# Formation energy from raw total energies ... -3.07 eV per formula unit



(3)
# Y2AgSe (SCAN, single point on PBEsol structure)
data_Y2AgSe
_space_group_name_H-M_alt 'R -3 m'
_space_group_IT_number 166
_space_group_name_Hall '-R 3 2"'
_cell_length_a 3.9446
_cell_length_b 3.9446
_cell_length_c 21.6244
_cell_angle_alpha 90.00
_cell_angle_beta 90.00
_cell_angle_gamma 120.00
loop_
_atom_site_label
_atom_site_type_symbol
_atom_site_fract_x
_atom_site_fract_y
_atom_site_fract_z
Y1 Y 0.0000 0.0000 0.2459
Ag1 Ag 0.0000 0.0000 0.0000
Se1 Se 0.0000 0.0000 0.5000
# E_tot ... -27.914 eV per atom
# Magnetic moment ... 0.000 μB/atom
# Formation energy from raw total energies ... -4.53 eV per formula unit



(4)
# Y2AgSe (SCAN, single point on PBEsol structure)
data_Y2AgSe
_space_group_name_H-M_alt 'I m m 2'
_space_group_IT_number 44
_cell_length_a 3.600
_cell_length_b 3.740
_cell_length_c 14.688
_cell_angle_alpha 90.00
_cell_angle_beta 90.00
_cell_angle_gamma 90.00
loop_
_space_group_symop_operation_xyz
'x,y,z'
'-x,-y,z'
'-x,y,z'
'x,-y,z'
'x+1/2,y+1/2,z+1/2'
'-x+1/2,-y+1/2,z+1/2'
'-x+1/2,y+1/2,z+1/2'
'x+1/2,-y+1/2,z+1/2'
loop_
_atom_site_label
_atom_site_type_symbol
_atom_site_fract_x
_atom_site_fract_y
_atom_site_fract_z
Y1 Y 0.000 0.000 0.000
Y2 Y 0.000 0.500 0.244
Ag1 Ag 0.000 0.500 0.839
Se1 Se 0.000 0.000 0.587
# E_tot ... -27.731 eV per atom
# Magnetic moment ... 0.011 μB/atom
# Formation energy from raw total energies ... -3.79 eV per formula unit



(5)
# YAgSe4 (SCAN, single point on PBEsol structure)
data_YAgSe4
_space_group_name_H-M_alt 'F -4 3 m'
_space_group_IT_number 216
_space_group_name_Hall 'F -4 2 3'
_cell_length_a 7.982
_cell_length_b 7.982
_cell_length_c 7.982
_cell_angle_alpha 90.00
_cell_angle_beta 90.00
_cell_angle_gamma 90.00
loop_
_atom_site_label
_atom_site_type_symbol
_atom_site_fract_x
_atom_site_fract_y
_atom_site_fract_z
Y1 Y 0.000 0.000 0.000
Ag1 Ag 0.250 0.250 0.250
Se1 Se 0.124 0.124 0.624
# E_tot ... -23.234 eV per atom
# Magnetic moment ... 0.000 μB/atom
# Formation energy from raw total energies ... 0.12 eV per formula unit



(6)
# YAgSe (SCAN, single point on PBEsol structure)
data_YAgSe
_space_group_name_H-M_alt 'F -4 3 m'
_space_group_IT_number 216
_space_group_name_Hall 'F -4 2 3'
_cell_length_a 6.568
_cell_length_b 6.568
_cell_length_c 6.568
_cell_angle_alpha 90.00
_cell_angle_beta 90.00
_cell_angle_gamma 90.00
loop_
_atom_site_label
_atom_site_type_symbol
_atom_site_fract_x
_atom_site_fract_y
_atom_site_fract_z
Y1 Y 0.000 0.000 0.000
Ag1 Ag 0.000 0.000 0.500
Se1 Se 0.250 0.250 0.750
# E_tot ... -27.011 eV per atom
# Magnetic moment ... 0.000 μB/atom
# Formation energy from raw total energies ... -1.74 eV per formula unit
# ΔE to the lowest computed polymorph ... 393 meV per atom



(7)
# YAgSe (SCAN, single point on PBEsol structure)
data_YAgSe
_space_group_name_H-M_alt 'P 3 m 1'
_space_group_IT_number 156
_cell_length_a 4.0224
_cell_length_b 4.0224
_cell_length_c 5.1293
_cell_angle_alpha 90.00
_cell_angle_beta 90.00
_cell_angle_gamma 120.00
loop_
_space_group_symop_operation_xyz
'x,y,z'
'-y,x-y,z'
'-x+y,-x,z'
'-y,-x,z'
'-x+y,y,z'
'x,x-y,z'
loop_
_atom_site_label
_atom_site_type_symbol
_atom_site_fract_x
_atom_site_fract_y
_atom_site_fract_z
Y1 Y 0.0000 0.0000 0.0000
Ag1 Ag 0.3333 0.6667 0.6230
Se1 Se 0.6667 0.3333 0.3140
# E_tot ... -27.404 eV per atom
# Magnetic moment ... 0.000 μB/atom
# Formation energy from raw total energies ... -2.92 eV per formula unit
# ΔE to the lowest computed polymorph ... 0 meV per atom



(8)
# YAg3Se (SCAN, single point on PBEsol structure)
data_YAg3Se
_space_group_name_H-M_alt 'P m -3 m'
_space_group_IT_number 221
_space_group_name_Hall '-P 4 2 3'
_cell_length_a 4.926
_cell_length_b 4.926
_cell_length_c 4.926
_cell_angle_alpha 90.00
_cell_angle_beta 90.00
_cell_angle_gamma 90.00
loop_
_atom_site_label
_atom_site_type_symbol
_atom_site_fract_x
_atom_site_fract_y
_atom_site_fract_z
Y1 Y 0.000 0.000 0.000
Ag1 Ag 0.000 0.500 0.500
Se1 Se 0.500 0.500 0.500
# E_tot ... -28.069 eV per atom
# Magnetic moment ... 0.000 μB/atom
# Formation energy from raw total energies ... 1.68 eV per formula unit



(9)
# Y3AgSe (SCAN, single point on PBEsol structure)
data_Y3AgSe
_space_group_name_H-M_alt 'P m -3 m'
_space_group_IT_number 221
_space_group_name_Hall '-P 4 2 3'
_cell_length_a 5.249
_cell_length_b 5.249
_cell_length_c 5.249
_cell_angle_alpha 90.00
_cell_angle_beta 90.00
_cell_angle_gamma 90.00
loop_
_atom_site_label
_atom_site_type_symbol
_atom_site_fract_x
_atom_site_fract_y
_atom_site_fract_z
Y1 Y 0.000 0.000 0.500
Ag1 Ag 0.500 0.500 0.500
Se1 Se 0.000 0.000 0.000
# E_tot ... -27.463 eV per atom
# Magnetic moment ... 0.000 μB/atom
# Formation energy from raw total energies ... -2.34 eV per formula unit



(10)
# ZnAgSe2 (SCAN, single point on PBEsol structure)
data_ZnAgSe2
_space_group_name_H-M_alt 'R -3 m'
_space_group_IT_number 166
_space_group_name_Hall '-R 3 2"'
_cell_length_a 3.6284
_cell_length_b 3.6284
_cell_length_c 23.2680
_cell_angle_alpha 90.00
_cell_angle_beta 90.00
_cell_angle_gamma 120.00
loop_
_atom_site_label
_atom_site_type_symbol
_atom_site_fract_x
_atom_site_fract_y
_atom_site_fract_z
Zn1 Zn 0.0000 0.0000 0.0000
Ag1 Ag 0.0000 0.0000 0.5000
Se1 Se 0.0000 0.0000 0.3957
# E_tot ... -21.393 eV per atom
# Magnetic moment ... 0.000 μB/atom
# Formation energy from raw total energies ... -0.53 eV per formula unit



(11)
# ZnAg2Se (SCAN, single point on PBEsol structure)
data_ZnAg2Se
_space_group_name_H-M_alt 'R -3 m'
_space_group_IT_number 166
_space_group_name_Hall '-R 3 2"'
_cell_length_a 2.9456
_cell_length_b 2.9456
_cell_length_c 26.9917
_cell_angle_alpha 90.00
_cell_angle_beta 90.00
_cell_angle_gamma 120.00
loop_
_atom_site_label
_atom_site_type_symbol
_atom_site_fract_x
_atom_site_fract_y
_atom_site_fract_z
Zn1 Zn 0.0000 0.0000 0.0000
Ag1 Ag 0.0000 0.0000 0.2559
Se1 Se 0.0000 0.0000 0.5000
# E_tot ... -23.929 eV per atom
# Magnetic moment ... 0.000 μB/atom
# Formation energy from raw total energies ... 0.61 eV per formula unit
# ΔE to the lowest computed polymorph ... 82 meV per atom



(12)
# ZnAg2Se (SCAN, single point on PBEsol structure)
data_ZnAg2Se
_space_group_name_H-M_alt 'P 4/m m m'
_space_group_IT_number 123
_space_group_name_Hall '-P 4 2'
_cell_length_a 4.049
_cell_length_b 4.049
_cell_length_c 4.150
_cell_angle_alpha 90.00
_cell_angle_beta 90.00
_cell_angle_gamma 90.00
loop_
_atom_site_label
_atom_site_type_symbol
_atom_site_fract_x
_atom_site_fract_y
_atom_site_fract_z
Zn1 Zn 0.000 0.000 0.000
Ag1 Ag 0.000 0.500 0.500
Se1 Se 0.500 0.500 0.000
# E_tot ... -24.011 eV per atom
# Magnetic moment ... 0.000 μB/atom
# Formation energy from raw total energies ... 0.28 eV per formula unit
# ΔE to the lowest computed polymorph ... 0 meV per atom